[1]
MnGaAu2 | PBE | optimized geometry

The space group is I-42d (No. 122) and the conventional cell measures 3.993, 3.993 and 19.628 Å, with angles of 90.00, 90.00 and 90.00 degrees. Symmetry generates all atoms from Mn at (0.000, 0.000, 0.000), Ga at (0.000, 0.000, 0.500) and Au at (0.250, 0.250, 0.125).

The density of states at the Fermi level comes out at 0.7224 states/eV per atom. The calculated total energy is -4.56 eV/atom. Its density is 11.01 Mg/m³.

[2]
HfPa2O8 | PBE | optimized geometry

The space group is C2/m (No. 12) and the conventional cell measures 11.562, 3.871 and 6.799 Å, with angles of 90.00, 102.30 and 90.00 degrees. Symmetry generates all atoms from Hf at (0.000, 0.000, 0.000), Pa at (0.235, 0.000, 0.732), O at (0.058, 0.000, 0.728), O at (0.060, 0.500, 0.142), O at (0.190, 0.500, 0.549) and O at (0.196, 0.000, 0.081).

The density of states at the Fermi level comes out at 0.4949 states/eV per atom. The formation energy (no corrections) is -2.960 eV/atom. Its density is 8.59 Mg/m³.

[3]
Ag2TeCl6 | PBE | optimized geometry

The space group is P2_1/c (No. 14) and the conventional cell measures 6.405, 6.870 and 13.185 Å, with angles of 90.00, 118.98 and 90.00 degrees. Symmetry generates all atoms from Ag at (0.187, 0.000, 0.186), Te at (0.000, 0.000, 0.500), Cl at (0.068, 0.161, 0.340), Cl at (0.222, 0.689, 0.500) and Cl at (0.387, 0.163, 0.658).

The density of states at the Fermi level comes out at 0.0000 states/eV per atom. The formation energy (no corrections) is -0.524 eV/atom. Its density is 3.64 Mg/m³. The relative energy among the computed polymorphs comes out at 0.000 eV/atom.